## CoSnSO (PBE with a Hubbard U)

Data for a relaxed CoSnSO crystal.

Properties
**Magnetic moment**: 3.0 μB per formula unit
**Space-group type**: Cmc2_1, No. 36
**Raw total energy**: -5.122 eV/atom

Lattice parameters (Å, degrees): 8.3951 8.3951 5.5225 90.00 90.00 23.17
Closest atoms and distances in Å follow each position.
Sites, in units of the cell vectors:
Sn 0.0807 0.0807 0.8820  1 O 2.07
Sn 0.9193 0.9193 0.3820  1 O 2.07
O 0.8737 0.8737 0.0328  2 Co 2.01, 1 Sn 2.07
O 0.1263 0.1263 0.5328  2 Co 2.01, 1 Sn 2.07
S 0.6938 0.6938 0.0229  3 Co 2.39-2.61, 2 Sn 2.63
S 0.3062 0.3062 0.5229  3 Co 2.39-2.61, 2 Sn 2.63
Co 0.6871 0.6871 0.4550  2 O 2.01
Co 0.3129 0.3129 0.9550  2 O 2.01